(1)
{"formula": "LiB4Pd3O12", "functional": "PBE", "state": "optimized geometry", "crystal_system": "trigonal", "e_form_raw_ev_per_atom": -1.398, "lattice_angstrom": [[6.1438, 0.0282, 0.0391], [-1.4529, 5.9695, 0.0391], [-1.4529, -1.8578, 5.6732]], "species": ["B", "B", "B", "B", "O", "O", "O", "O", "O", "O", "O", "O", "O", "O", "O", "O", "Li", "Pd", "Pd", "Pd"], "fractional_positions": [[0.5000, 0.5000, 0.5000], [0.5000, 0.9429, 0.0571], [0.0571, 0.5000, 0.9429], [0.9429, 0.0571, 0.5000], [0.0234, 0.6312, 0.7938], [0.9106, 0.5000, 0.0894], [0.0894, 0.9106, 0.5000], [0.7938, 0.0234, 0.6312], [0.3573, 0.6427, 0.5000], [0.6427, 0.5000, 0.3573], [0.3688, 0.9766, 0.2062], [0.5000, 0.0894, 0.9106], [0.2062, 0.3688, 0.9766], [0.5000, 0.3573, 0.6427], [0.6312, 0.7938, 0.0234], [0.9766, 0.2062, 0.3688], [0.0000, 0.0000, 0.0000], [0.0000, 0.5497, 0.4503], [0.4503, 0.0000, 0.5497], [0.5497, 0.4503, 0.0000]]}

=====

(2)
{"formula": "Ag2RhAu", "functional": "PBE", "state": "optimized geometry", "crystal_system": "tetragonal", "formation_energy_mev_per_atom": 166, "lattice_angstrom": [[-2.0129, 2.0129, 4.1695], [2.0129, -2.0129, 4.1695], [2.0129, 2.0129, -4.1695]], "species": ["Au", "Ag", "Ag", "Rh"], "fractional_positions": [[0.5000, 0.5000, 0.0000], [0.7500, 0.2500, 0.5000], [0.2500, 0.7500, 0.5000], [0.0000, 0.0000, 0.0000]]}

=====

(3)
{"formula": "LiCa2Pm3Se6", "functional": "PBE", "state": "optimized geometry", "crystal_system": "monoclinic", "e_form_raw_ev_per_atom": -1.839, "lattice_angstrom": [[-6.4244, 0.8990, -3.1021], [2.3429, -6.6148, 1.5680], [-1.5755, 2.3380, 6.7193]], "species": ["Ca", "Ca", "Se", "Se", "Se", "Se", "Se", "Se", "Pm", "Pm", "Pm", "Li"], "fractional_positions": [[0.3338, 0.6662, 0.0000], [0.6662, 0.3338, 0.0000], [0.2461, 0.2461, 0.7552], [0.5911, 0.9189, 0.7561], [0.0811, 0.4089, 0.2439], [0.9189, 0.5911, 0.7561], [0.4089, 0.0811, 0.2439], [0.7539, 0.7539, 0.2448], [0.8324, 0.1676, 0.5000], [0.1676, 0.8324, 0.5000], [0.5000, 0.5000, 0.5000], [0.0000, 0.0000, 0.0000]]}

=====

(4)
{"formula": "LaRh", "functional": "PBE", "state": "optimized geometry", "crystal_system": "trigonal", "formation_energy_mev_per_atom": -268, "lattice_angstrom": [[-0.0148, 2.7370, -2.9143], [-2.3458, -3.2259, -0.2753], [-5.8089, 3.9083, 3.7001]], "species": ["Rh", "Rh", "La", "La"], "fractional_positions": [[0.3333, 0.6667, 0.1013], [0.6667, 0.3333, 0.8987], [0.6667, 0.3333, 0.2888], [0.3333, 0.6667, 0.7112]]}

=====

(5)
{"formula": "ZnSbAs2P", "functional": "PBE", "state": "optimized geometry", "crystal_system": "tetragonal", "e_form_raw_ev_per_atom": 0.933, "lattice_angstrom": [[4.6935, 0.0000, 0.0000], [0.0000, 5.3757, 0.0000], [0.0000, 0.0000, 4.6935]], "species": ["Zn", "Sb", "As", "As", "P"], "fractional_positions": [[0.0000, 0.0000, 0.0000], [0.0000, 0.5000, 0.0000], [0.5000, 0.0000, 0.0000], [0.0000, 0.0000, 0.5000], [0.5000, 0.5000, 0.5000]]}

=====

(6)
{"formula": "Li4Pr3PaSe8", "functional": "PBE", "state": "optimized geometry", "crystal_system": "trigonal", "e_form_raw_ev_per_atom": -1.544, "lattice_angstrom": [[-2.7387, 6.9322, 3.8126], [3.1152, -2.6447, 7.0464], [4.7637, 0.5975, -6.8566]], "species": ["Se", "Se", "Se", "Se", "Se", "Se", "Se", "Se", "Li", "Li", "Li", "Li", "Pa", "Pr", "Pr", "Pr"], "fractional_positions": [[0.2354, 0.2387, 0.9869], [0.2448, 0.2346, 0.4895], [0.7515, 0.2387, 0.9869], [0.2485, 0.7614, 0.4971], [0.7515, 0.2386, 0.5029], [0.7646, 0.7613, 0.0131], [0.7552, 0.7654, 0.5105], [0.2485, 0.7613, 0.0131], [0.5000, 0.0000, 0.0000], [0.0000, 0.0000, 0.5000], [0.5000, 0.0000, 0.5000], [0.0000, 0.0000, 0.0000], [0.0000, 0.5000, 0.0000], [0.5000, 0.5000, 0.0000], [0.0000, 0.5000, 0.5000], [0.5000, 0.5000, 0.5000]]}

=====

(7)
{"formula": "Mg2AlCr", "functional": "PBE", "state": "optimized geometry", "crystal_system": "monoclinic", "formation_energy_mev_per_atom": 247, "lattice_angstrom": [[-2.1953, -0.3321, 4.2698], [-1.5114, -2.3427, -0.9593], [3.4488, -3.6185, 1.4917]], "species": ["Al", "Cr", "Mg", "Mg"], "fractional_positions": [[0.5000, 0.2500, 0.2500], [0.5000, 0.7500, 0.7500], [0.0000, 0.0106, 0.9966], [0.0000, 0.4894, 0.5034]]}

=====

(8)
{"formula": "BAsRh", "functional": "PBE", "state": "optimized geometry", "crystal_system": "orthorhombic", "formation_energy_mev_per_atom": 58, "lattice_angstrom": [[6.1419, 0.0000, 0.0000], [0.0000, 5.3705, 0.2234], [0.0000, -2.1252, 4.9376]], "species": ["As", "As", "As", "As", "Rh", "Rh", "Rh", "Rh", "B", "B", "B", "B"], "fractional_positions": [[0.8812, 0.7004, 0.5498], [0.3812, 0.2996, 0.4502], [0.8812, 0.2004, 0.0498], [0.3812, 0.7996, 0.9502], [0.9730, 0.7147, 0.0354], [0.4730, 0.2853, 0.9646], [0.4730, 0.7853, 0.4646], [0.9730, 0.2147, 0.5354], [0.1478, 0.8491, 0.4009], [0.1478, 0.3491, 0.9009], [0.6478, 0.1509, 0.5991], [0.6478, 0.6509, 0.0991]]}

=====

(9)
{"formula": "Mg2CoSn", "functional": "PBE", "state": "optimized geometry", "crystal_system": "tetragonal", "formation_energy_mev_per_atom": 48, "lattice_angstrom": [[-4.0831, 0.2128, -0.9585], [-0.9629, -0.7556, 3.9340], [0.0269, 4.0448, 0.7835]], "species": ["Mg", "Mg", "Sn", "Co"], "fractional_positions": [[0.0000, 0.5000, 0.0000], [0.0000, 0.0000, 0.5000], [0.5000, 0.5000, 0.5000], [0.5000, 0.0000, 0.0000]]}

=====

(10)
{"formula": "Li2SnF6", "functional": "PBE", "state": "optimized geometry", "crystal_system": "trigonal", "e_form_raw_ev_per_atom": -2.746, "relative_energy_kj_per_mol_atoms": 0.0, "lattice_angstrom": [[-1.7167, 0.1282, 4.7377], [-2.7378, -2.2028, -3.6141], [2.0988, -4.0353, 0.8697]], "species": ["F", "F", "F", "F", "F", "F", "Sn", "Li", "Li"], "fractional_positions": [[0.0000, 0.6752, 0.2526], [0.3248, 0.3248, 0.2526], [0.6752, 0.6752, 0.7474], [0.0000, 0.3248, 0.7474], [0.3248, 0.0000, 0.7474], [0.6752, 0.0000, 0.2526], [0.0000, 0.0000, 0.0000], [0.3333, 0.6667, 0.5000], [0.6667, 0.3333, 0.5000]]}

=====

(11)
{"formula": "KScAg3", "functional": "PBE", "state": "optimized geometry", "crystal_system": "cubic", "relative_energy_kj_per_mol_atoms": 63.6, "formation_energy_mev_per_atom": 1077, "lattice_angstrom": [[5.3095, 0.0000, 0.0000], [0.0000, 5.3095, 0.0000], [0.0000, 0.0000, 5.3095]], "species": ["Sc", "Ag", "Ag", "Ag", "K"], "fractional_positions": [[0.5000, 0.5000, 0.5000], [0.5000, 0.0000, 0.0000], [0.0000, 0.5000, 0.0000], [0.0000, 0.0000, 0.5000], [0.0000, 0.0000, 0.0000]]}

=====

(12)
{"formula": "RbBaNa2Sb", "functional": "PBE", "state": "optimized geometry", "crystal_system": "tetragonal", "e_form_raw_ev_per_atom": 0.136, "lattice_angstrom": [[-0.2800, -1.7333, 5.5143], [-4.0505, -5.0647, -1.7976], [4.6130, -3.3937, -0.8325]], "species": ["Sb", "Ba", "Na", "Na", "Rb"], "fractional_positions": [[0.0000, 0.5000, 0.0000], [0.5000, 0.5000, 0.5000], [0.0000, 0.0000, 0.5000], [0.5000, 0.0000, 0.0000], [0.0000, 0.0000, 0.0000]]}

=====

(13)
{"formula": "Pr2Ho4Sc", "functional": "PBE", "state": "optimized geometry", "crystal_system": "tetragonal", "relative_energy_kj_per_mol_atoms": 34.4, "formation_energy_mev_per_atom": 547, "lattice_angstrom": [[-2.1420, -4.7171, -1.3772], [4.7715, -2.3557, 0.6473], [-3.2173, 1.9702, 8.6886]], "species": ["Pr", "Pr", "Ho", "Ho", "Ho", "Ho", "Sc"], "fractional_positions": [[0.6276, 0.6276, 0.2552], [0.3724, 0.3724, 0.7448], [0.5000, 0.0000, 0.0000], [0.1734, 0.1734, 0.3468], [0.8266, 0.8266, 0.6532], [0.0000, 0.5000, 0.0000], [0.0000, 0.0000, 0.0000]]}

=====

(14)
{"formula": "Ca3Pr2Pb4", "functional": "PBE", "state": "optimized geometry", "crystal_system": "monoclinic", "formation_energy_mev_per_atom": -575, "lattice_angstrom": [[8.0339, 0.0679, 0.0000], [-2.5773, 8.2027, 0.0000], [0.0000, 0.0000, 8.7014]], "species": ["Pb", "Pb", "Pb", "Pb", "Pb", "Pb", "Pb", "Pb", "Ca", "Ca", "Ca", "Ca", "Ca", "Ca", "Pr", "Pr", "Pr", "Pr"], "fractional_positions": [[0.8480, 0.0804, 0.5349], [0.8679, 0.4866, 0.1323], [0.1520, 0.9196, 0.4651], [0.1321, 0.5134, 0.8677], [0.3679, 0.4866, 0.3677], [0.3480, 0.0804, 0.9651], [0.6321, 0.5134, 0.6323], [0.6520, 0.9196, 0.0349], [0.2511, 0.2448, 0.6676], [0.7511, 0.2448, 0.8324], [0.2489, 0.7552, 0.1676], [0.0000, 0.5000, 0.5000], [0.5000, 0.5000, 0.0000], [0.7489, 0.7552, 0.3324], [0.4331, 0.8103, 0.6891], [0.0669, 0.1897, 0.1891], [0.9331, 0.8103, 0.8109], [0.5669, 0.1897, 0.3109]]}

=====

(15)
{"formula": "Ir3Os5", "functional": "PBE", "state": "optimized geometry", "crystal_system": "orthorhombic", "relative_energy_kj_per_mol_atoms": 4.8, "formation_energy_mev_per_atom": 56, "lattice_angstrom": [[5.4571, 0.0007, 0.0000], [-0.0237, 5.4571, 0.0000], [0.0000, 0.0000, 3.8598]], "species": ["Os", "Os", "Os", "Os", "Os", "Ir", "Ir", "Ir"], "fractional_positions": [[0.2487, 0.7513, 0.5000], [0.5000, 0.0000, 0.0000], [0.0000, 0.0000, 0.0000], [0.7513, 0.2487, 0.5000], [0.0000, 0.5000, 0.0000], [0.5000, 0.5000, 0.0000], [0.7505, 0.7505, 0.5000], [0.2495, 0.2495, 0.5000]]}

=====

(16)
{"formula": "SrHf2Ni2", "functional": "PBE", "state": "optimized geometry", "crystal_system": "tetragonal", "relative_energy_kj_per_mol_atoms": 12.6, "formation_energy_mev_per_atom": 12, "lattice_angstrom": [[-3.6620, -4.7413, 5.1139], [4.6386, -5.9691, -2.2126], [2.1604, 0.8227, 2.3098]], "species": ["Ni", "Ni", "Ni", "Ni", "Hf", "Hf", "Hf", "Hf", "Sr", "Sr"], "fractional_positions": [[0.8812, 0.6188, 0.0000], [0.6188, 0.1188, 0.0000], [0.1188, 0.3812, 0.0000], [0.3812, 0.8812, 0.0000], [0.8538, 0.3538, 0.5000], [0.6462, 0.8538, 0.5000], [0.1462, 0.6462, 0.5000], [0.3538, 0.1462, 0.5000], [0.5000, 0.5000, 0.0000], [0.0000, 0.0000, 0.0000]]}

=====

(17)
{"formula": "FeRuPb3", "functional": "PBE", "state": "optimized geometry", "crystal_system": "cubic", "relative_energy_kj_per_mol_atoms": 0.0, "formation_energy_mev_per_atom": 856, "lattice_angstrom": [[-4.0313, -0.1644, 3.3669], [-1.6460, -4.4844, -2.1898], [2.9417, -2.7345, 3.3887]], "species": ["Ru", "Pb", "Pb", "Pb", "Fe"], "fractional_positions": [[0.0000, 0.0000, 0.0000], [0.5000, 0.0000, 0.0000], [0.0000, 0.5000, 0.0000], [0.0000, 0.0000, 0.5000], [0.5000, 0.5000, 0.5000]]}

=====

(18)
{"formula": "CeNpNbN3", "functional": "PBE", "state": "optimized geometry", "crystal_system": "monoclinic", "e_form_raw_ev_per_atom": -0.959, "lattice_angstrom": [[-2.0653, 2.5751, -0.0052], [-2.8247, -2.2527, 6.2705], [5.6020, 4.5005, 3.7496]], "species": ["Ce", "Ce", "Np", "Np", "N", "N", "N", "N", "N", "N", "Nb", "Nb"], "fractional_positions": [[0.2500, 0.1369, 0.1722], [0.7500, 0.8631, 0.8278], [0.7500, 0.3735, 0.8447], [0.2500, 0.6265, 0.1553], [0.2500, 0.8361, 0.5914], [0.7500, 0.3969, 0.1072], [0.7500, 0.8601, 0.1482], [0.2500, 0.6031, 0.8928], [0.7500, 0.1639, 0.4086], [0.2500, 0.1399, 0.8518], [0.7500, 0.8655, 0.4270], [0.2500, 0.1345, 0.5730]]}

=====

(19)
{"formula": "Ni3AgAs", "functional": "PBE", "state": "optimized geometry", "crystal_system": "cubic", "relative_energy_kj_per_mol_atoms": 98.1, "formation_energy_mev_per_atom": 1404, "lattice_angstrom": [[-3.2375, 0.8941, 3.1266], [-0.8960, -4.4864, 0.3552], [3.1260, -0.3599, 3.3399]], "species": ["As", "Ag", "Ni", "Ni", "Ni"], "fractional_positions": [[0.5000, 0.5000, 0.5000], [0.0000, 0.0000, 0.0000], [0.0000, 0.0000, 0.5000], [0.0000, 0.5000, 0.0000], [0.5000, 0.0000, 0.0000]]}

=====

(20)
{"formula": "RbPt2Se", "functional": "PBE", "state": "optimized geometry", "crystal_system": "tetragonal", "e_form_raw_ev_per_atom": -0.389, "relative_energy_kj_per_mol_atoms": 0.0, "lattice_angstrom": [[5.4899, 0.0000, 0.0000], [0.0000, 5.4899, 0.0000], [2.7449, 2.7449, 7.8941]], "species": ["Pt", "Pt", "Pt", "Pt", "Rb", "Rb", "Se", "Se"], "fractional_positions": [[0.3750, 0.6250, 0.2500], [0.8750, 0.6250, 0.7500], [0.3750, 0.1250, 0.2500], [0.3750, 0.6250, 0.7500], [0.7500, 0.2500, 0.5000], [0.0000, 0.0000, 0.0000], [0.2500, 0.7500, 0.5000], [0.5000, 0.5000, 0.0000]]}

=====

The following energy values (in eV/atom) correspond, in order, to the records above: -6.58, -3.92, -5.26, -6.41, -3.09, -5.25, -3.89, -6.17, -3.53, -4.86, -2.12, -1.79, -4.34, -3.95, -10.29, -6.62, -4.92, -9.95, -3.57, -4.52.
The following Fermi-level density of states values (in states/eV per cell) correspond, in order, to the records above: 4.1, 2.6, 2.9, 2.5, 4.0, 9.9, 1.8, 2.1, 3.1, 0.0, 4.3, 0.1, 8.1, 3.2, 4.7, 9.3, 5.1, 21.1, 9.5, 1.3.